# 1
A plane-wave DFT calculation with PBE was carried out for a relaxed structure of GaHgAs2Se.

a b c (Å): 5.017 5.017 5.000
angles (deg): 90.00 90.00 90.00
Sites, in units of the cell vectors:
1 As 0.000 0.500 0.000
2 As 0.500 0.000 0.000
3 Ga 0.000 0.000 0.000
4 Hg 0.500 0.500 0.500
5 Se 0.000 0.000 0.500

Results
The value obtained for the raw formation energy is 579 meV per atom. As for the offset from the most stable computed form: 0 meV per atom.

=====

# 2
A plane-wave DFT calculation with PBE was carried out for a relaxed structure of GdAl2Pb.

a b c (Å): 4.474 4.520 4.520
angles (deg): 90.00 90.00 90.00
Last column: magnetic moment on the atom in μB.
Sites, in units of the cell vectors:
1 Pb 0.500 0.000 0.000  -0.03
2 Gd 0.500 0.500 0.500  6.94
3 Al 0.000 0.000 0.500  -0.02
4 Al 0.000 0.500 0.000  -0.02

Results
For the formation enthalpy at 0 K, the calculation gives -0.2705 eV/atom.

=====

# 3
A plane-wave DFT calculation with PBE was carried out for a relaxed structure of Cs3LiPu2Br9.

a b c (Å): 8.114 8.114 10.003
angles (deg): 90.00 90.00 120.00
Last column: magnetic moment on the atom in μB.
Sites, in units of the cell vectors:
1 Cs 0.333 0.667 0.653  0.00
2 Cs 0.000 0.000 0.000  0.00
3 Cs 0.667 0.333 0.347  0.00
4 Li 0.000 0.000 0.500  0.00
5 Pu 0.333 0.667 0.181  5.45
6 Pu 0.667 0.333 0.819  5.45
7 Br 0.838 0.162 0.663  -0.02
8 Br 0.838 0.677 0.663  -0.02
9 Br 0.323 0.162 0.663  -0.02
10 Br 0.677 0.838 0.337  -0.02
11 Br 0.162 0.323 0.337  -0.02
12 Br 0.162 0.838 0.337  -0.02
13 Br 0.500 0.000 0.000  -0.02
14 Br 0.000 0.500 0.000  -0.02
15 Br 0.500 0.500 0.000  -0.02

Results
The value obtained for the raw formation energy is -1661 meV per atom.

=====

# 4
A plane-wave DFT calculation with PBE was carried out for a relaxed structure of Tc3PtRh2.

a b c (Å): 4.917 5.431 7.291
angles (deg): 111.84 90.00 90.00
Sites, in units of the cell vectors:
1 Tc 0.750 0.850 0.700
2 Tc 0.250 0.150 0.300
3 Tc 0.749 0.939 0.370
4 Tc 0.251 0.061 0.630
5 Tc 0.751 0.431 0.369
6 Tc 0.249 0.569 0.631
7 Pt 0.750 0.353 0.705
8 Pt 0.250 0.647 0.295
9 Rh 0.999 0.762 0.001
10 Rh 0.501 0.239 0.001
11 Rh 0.001 0.238 0.999
12 Rh 0.499 0.761 0.999

Results
For the formation enthalpy at 0 K, the calculation gives 0.1530 eV/atom.

=====

# 5
A plane-wave DFT calculation with PBE was carried out for a relaxed structure of Mg2Zr2Ag.

a b c (Å): 3.138 3.138 11.031
angles (deg): 98.18 98.18 90.00
Sites, in units of the cell vectors:
1 Mg 0.586 0.586 0.171
2 Mg 0.414 0.414 0.829
3 Zr 0.802 0.802 0.604
4 Zr 0.198 0.198 0.396
5 Ag 0.000 0.000 0.000

Results
For the formation enthalpy at 0 K, the calculation gives -0.1136 eV/atom. As for the offset from the most stable computed form: 0 meV per atom.

=====

# 6
A plane-wave DFT calculation with PBE was carried out for a relaxed structure of Ca2SnBI.

a b c (Å): 5.574 4.412 5.574
angles (deg): 90.00 90.00 90.00
Sites, in units of the cell vectors:
1 I 0.500 0.500 0.500
2 Ca 0.000 0.000 0.500
3 Ca 0.500 0.000 0.000
4 B 0.000 0.000 0.000
5 Sn 0.000 0.500 0.000

Results
The value obtained for the raw formation energy is -276 meV per atom.

=====

# 7
A plane-wave DFT calculation with PBE was carried out for a relaxed structure of ScHPd3.

a b c (Å): 4.837 4.837 9.671
angles (deg): 75.52 75.52 90.00
Sites, in units of the cell vectors:
1 Sc 0.000 0.000 0.000
2 Sc 0.250 0.750 0.500
3 H 0.626 0.126 0.747
4 H 0.874 0.374 0.253
5 Pd 0.123 0.876 0.248
6 Pd 0.124 0.877 0.752
7 Pd 0.124 0.371 0.752
8 Pd 0.629 0.876 0.248
9 Pd 0.365 0.365 0.270
10 Pd 0.635 0.635 0.730

Results
As for the offset from the most stable computed form: 1109 meV per atom.

=====

# 8
A plane-wave DFT calculation with PBE was carried out for a relaxed structure of Ac2BSbPt6.

a b c (Å): 5.842 7.237 6.826
angles (deg): 122.89 115.34 90.00
Sites, in units of the cell vectors:
1 Ac 0.761 0.226 0.522
2 Ac 0.212 0.743 0.425
3 B 0.055 0.024 0.109
4 Sb 0.517 0.502 0.034
5 Pt 0.714 0.753 0.929
6 Pt 0.781 0.806 0.562
7 Pt 0.254 0.174 0.995
8 Pt 0.741 0.174 0.995
9 Pt 0.249 0.347 0.498
10 Pt 0.215 0.753 0.929

Results
The value obtained for the raw formation energy is -833 meV per atom.

=====

# 9
A plane-wave DFT calculation with PBE was carried out for a relaxed structure of Na3YBr.

a b c (Å): 6.789 6.789 6.789
angles (deg): 90.00 90.00 90.00
Last column: magnetic moment on the atom in μB.
Sites, in units of the cell vectors:
1 Y 0.000 0.000 0.000  0.90
2 Na 0.000 0.500 0.000  0.06
3 Na 0.000 0.000 0.500  0.04
4 Na 0.500 0.000 0.000  0.08
5 Br 0.500 0.500 0.500  0.04

Results
The value obtained for the raw formation energy is 585 meV per atom. As for the offset from the most stable computed form: 632 meV per atom.

=====

# 10
A plane-wave DFT calculation with PBE was carried out for a relaxed structure of TbCd5Cu.

a b c (Å): 4.654 4.654 7.356
angles (deg): 90.00 90.00 90.00
Sites, in units of the cell vectors:
1 Tb 0.000 0.000 0.000
2 Cd 0.500 0.000 0.701
3 Cd 0.000 0.500 0.701
4 Cd 0.500 0.500 0.000
5 Cd 0.000 0.500 0.299
6 Cd 0.500 0.000 0.299
7 Cu 0.000 0.000 0.500

Results
For the formation enthalpy at 0 K, the calculation gives -0.1485 eV/atom.

=====

# 11
A plane-wave DFT calculation with PBE was carried out for a relaxed structure of KPaTe2.

a b c (Å): 4.366 4.366 9.048
angles (deg): 76.04 76.04 60.00
Last column: magnetic moment on the atom in μB.
Sites, in units of the cell vectors:
1 K 0.498 0.498 0.505  0.00
2 Pa 0.667 0.667 0.998  1.54
3 Te 0.072 0.072 0.783  -0.03
4 Te 0.262 0.262 0.214  -0.04

Results
The value obtained for the raw formation energy is -908 meV per atom.

=====

no.,raw total energy (eV/atom)
1,-2.643
2,-6.589
3,-4.874
4,-8.487
5,-4.741
6,-3.523
7,-4.643
8,-6.359
9,-1.834
10,-2.049
11,-5.128